The following is a DFT calculation (PBE) of an optimized crystal structure of GaFe.

abc: 7.5351 13.6180 4.3127
angles: 90.00 90.00 90.00
Site moments in Bohr magnetons follow the coordinates.
Fractional positions:
Fe 0.0000 0.5834 0.5000  1.91
Fe 0.7500 0.1666 0.2500  1.91
Fe 0.5000 0.4166 0.0000  1.91
Fe 0.7500 0.8334 0.7500  1.91
Fe 0.2500 0.8334 0.2500  1.91
Fe 0.7500 0.3334 0.2500  1.91
Fe 0.0000 0.9166 0.0000  1.91
Fe 0.2500 0.6666 0.2500  1.91
Fe 0.0000 0.0834 0.0000  1.91
Fe 0.5000 0.0834 0.5000  1.91
Fe 0.7500 0.6666 0.7500  1.91
Fe 0.5000 0.9166 0.5000  1.91
Fe 0.5000 0.5834 0.0000  1.91
Fe 0.2500 0.3334 0.7500  1.91
Fe 0.0000 0.4166 0.5000  1.91
Fe 0.2500 0.1666 0.7500  1.91
Ga 0.6651 0.5000 0.5000  -0.08
Ga 0.4151 0.2500 0.2500  -0.08
Ga 0.9151 0.7500 0.2500  -0.08
Ga 0.9151 0.2500 0.7500  -0.08
Ga 0.5849 0.2500 0.7500  -0.08
Ga 0.8349 0.0000 0.5000  -0.08
Ga 0.0849 0.2500 0.2500  -0.08
Ga 0.3349 0.5000 0.5000  -0.08
Ga 0.0849 0.7500 0.7500  -0.08
Ga 0.5849 0.7500 0.2500  -0.08
Ga 0.1651 0.0000 0.5000  -0.08
Ga 0.4151 0.7500 0.7500  -0.08
Ga 0.3349 0.0000 0.0000  -0.08
Ga 0.8349 0.5000 0.0000  -0.08
Ga 0.1651 0.5000 0.0000  -0.08
Ga 0.6651 0.0000 0.0000  -0.08

E = -0.41017 Ry/atom
Crystal system = orthorhombic
Space-group type = Fddd
DOS(E_F) = 31.8 states/eV per cell
Formation energy = 164.1 meV per atom
ρ = 7.5 g cm⁻³

***

The following is a DFT calculation (PBE) of an optimized crystal structure of GaFe.

abc: 2.7580 2.7552 4.0234
angles: 90.06 89.99 120.00
Site moments in Bohr magnetons follow the coordinates.
Fractional positions:
Fe 0.3334 0.6668 0.2500  2.15
Ga 0.6666 0.3332 0.7500  -0.09

E = -0.42687 Ry/atom
Crystal system = hexagonal
Space-group type = P-6m2
DOS(E_F) = 1.7 states/eV per cell
Formation energy = -63.1 meV per atom
ρ = 7.9 g cm⁻³

***

The following is a DFT calculation (PBE) of an optimized crystal structure of GdGa6Fe6.

abc: 8.5965 6.6735 6.5509
angles: 81.09 50.08 48.84
Site moments in Bohr magnetons follow the coordinates.
Fractional positions:
Ga 0.0167 0.3514 0.6486  -0.06
Ga 0.6486 0.9833 0.0167  -0.06
Ga 0.5000 0.5000 0.0000  -0.05
Ga 0.9833 0.6486 0.3514  -0.06
Ga 0.3514 0.0167 0.9833  -0.06
Ga 0.0000 0.0000 0.5000  -0.05
Fe 0.7104 0.5064 0.4936  2.42
Fe 0.4936 0.2896 0.7104  2.42
Fe 0.0000 0.5000 0.0000  2.17
Fe 0.2896 0.4936 0.5064  2.42
Fe 0.5000 0.0000 0.5000  2.17
Fe 0.5064 0.7104 0.2896  2.42
Gd 0.0000 0.0000 0.0000  6.88

E = -0.48119 Ry/atom
Crystal system = orthorhombic
Space-group type = Fmmm
DOS(E_F) = 8.6 states/eV per cell
Formation energy = -160.9 meV per atom
ρ = 7.9 g cm⁻³

***

The following is a DFT calculation (PBE) of an optimized crystal structure of GdGaFe.

abc: 3.7964 4.2670 4.2670
angles: 120.00 90.00 90.00
Site moments in Bohr magnetons follow the coordinates.
Fractional positions:
Fe 0.1666 0.3333 0.6667  -2.18
Ga 0.1667 0.0000 0.0000  0.05
Gd 0.6667 0.6667 0.3333  7.15

E = -0.64318 Ry/atom
Crystal system = hexagonal
Space-group type = P-6m2
DOS(E_F) = 4.7 states/eV per cell
Formation energy = -227.4 meV per atom
ρ = 7.8 g cm⁻³

***

The following is a DFT calculation (PBE) of an optimized crystal structure of GdGa8Fe4.

abc: 6.6750 6.6750 6.6750
angles: 98.29 98.29 135.38
Site moments in Bohr magnetons follow the coordinates.
Fractional positions:
Fe 0.5000 0.0000 0.0000  1.69
Fe 0.0000 0.0000 0.5000  1.69
Fe 0.0000 0.5000 0.0000  1.69
Fe 0.5000 0.5000 0.5000  1.69
Ga 0.5000 0.7244 0.2244  -0.04
Ga 0.0000 0.6598 0.6598  -0.04
Ga 0.7244 0.5000 0.2244  -0.04
Ga 0.2756 0.5000 0.7756  -0.04
Ga 0.0000 0.3402 0.3402  -0.04
Ga 0.5000 0.2756 0.7756  -0.04
Ga 0.6598 0.0000 0.6598  -0.04
Ga 0.3402 0.0000 0.3402  -0.04
Gd 0.0000 0.0000 0.0000  6.92

E = -0.42870 Ry/atom
Crystal system = tetragonal
Space-group type = I4/mmm
DOS(E_F) = 8.5 states/eV per cell
Formation energy = -283.0 meV per atom
ρ = 8.1 g cm⁻³

***

The following is a DFT calculation (PBE) of an optimized crystal structure of GdGaFe4.

abc: 4.9780 4.9780 4.9780
angles: 60.00 60.00 60.00
Site moments in Bohr magnetons follow the coordinates.
Fractional positions:
Fe 0.6258 0.6258 0.1227  2.02
Fe 0.6258 0.1227 0.6258  2.02
Fe 0.1227 0.6258 0.6258  2.02
Fe 0.6258 0.6258 0.6258  2.02
Ga 0.0000 0.0000 0.0000  -0.10
Gd 0.2500 0.2500 0.2500  6.75

E = -0.62693 Ry/atom
Crystal system = cubic
Space-group type = F-43m
DOS(E_F) = 7.1 states/eV per cell
Formation energy = -36.7 meV per atom
ρ = 8.6 g cm⁻³

***

The following is a DFT calculation (PBE) of an optimized crystal structure of GdHoGaFe.

abc: 4.9519 4.9519 4.9519
angles: 60.00 60.00 60.00
Site moments in Bohr magnetons follow the coordinates.
Fractional positions:
Ga 0.2500 0.2500 0.2500  0.01
Fe 0.7500 0.7500 0.7500  -2.04
Ho 0.0000 0.0000 0.0000  0.25
Gd 0.5000 0.5000 0.5000  7.20

E = -0.56759 Ry/atom
Crystal system = cubic
Space-group type = F-43m
DOS(E_F) = 6.7 states/eV per cell
Formation energy = -185.5 meV per atom
ρ = 8.7 g cm⁻³

***

The following is a DFT calculation (PBE) of an optimized crystal structure of SmGdGaFe.

abc: 5.0348 5.0348 5.0348
angles: 60.00 60.00 60.00
Site moments in Bohr magnetons follow the coordinates.
Fractional positions:
Sm 0.5000 0.5000 0.5000  -0.19
Gd 0.0000 0.0000 0.0000  6.85
Fe 0.7500 0.7500 0.7500  2.25
Ga 0.2500 0.2500 0.2500  0.01

E = -0.56480 Ry/atom
Crystal system = cubic
Space-group type = F-43m
DOS(E_F) = 7.9 states/eV per cell
Formation energy = -112.0 meV per atom
ρ = 8.0 g cm⁻³

***

The following is a DFT calculation (PBE) of an optimized crystal structure of GdYGaFe.

abc: 4.9774 4.9774 4.9774
angles: 60.00 60.00 60.00
Site moments in Bohr magnetons follow the coordinates.
Fractional positions:
Y 0.2500 0.2500 0.2500  -0.18
Gd 0.7500 0.7500 0.7500  -7.21
Ga 0.0000 0.0000 0.0000  0.00
Fe 0.5000 0.5000 0.5000  2.13

E = -0.60204 Ry/atom
Crystal system = cubic
Space-group type = F-43m
DOS(E_F) = 7.0 states/eV per cell
Formation energy = -182.5 meV per atom
ρ = 7.1 g cm⁻³

***

The following is a DFT calculation (PBE) of an optimized crystal structure of GaFeGe.

abc: 9.0576 8.3579 5.0042
angles: 81.16 65.75 33.09
Site moments in Bohr magnetons follow the coordinates.
Fractional positions:
Ge 0.3371 0.6629 0.3371  -0.04
Ge 0.6629 0.3371 0.6629  -0.04
Ge 0.5871 0.9129 0.5871  -0.04
Ge 0.9129 0.5871 0.9129  -0.04
Ga 0.3352 0.3352 0.1648  -0.01
Ga 0.1648 0.1648 0.3352  -0.01
Ga 0.0852 0.0852 0.9148  -0.01
Ga 0.9148 0.9148 0.0852  -0.01
Fe 0.8781 0.8781 0.6219  1.34
Fe 0.3719 0.3719 0.6281  1.34
Fe 0.6281 0.6281 0.3719  1.34
Fe 0.6219 0.6219 0.8781  1.34

E = -0.40292 Ry/atom
Crystal system = orthorhombic
Space-group type = Fddd
DOS(E_F) = 7.7 states/eV per cell
Formation energy = -113.0 meV per atom
ρ = 7.6 g cm⁻³

***

The following is a DFT calculation (PBE) of an optimized crystal structure of GaFe6Ge.

abc: 4.3529 4.3529 6.5295
angles: 75.61 75.61 68.67
Site moments in Bohr magnetons follow the coordinates.
Fractional positions:
Fe 0.3650 0.3650 0.9227  2.41
Fe 0.4601 0.9357 0.6999  2.37
Fe 0.5399 0.0643 0.3001  2.37
Fe 0.6350 0.6350 0.0773  2.41
Fe 0.0643 0.5399 0.3001  2.37
Fe 0.9357 0.4601 0.6999  2.37
Ga 0.5000 0.5000 0.5000  -0.13
Ge 0.0000 0.0000 0.0000  -0.10

E = -0.52182 Ry/atom
Crystal system = monoclinic
Space-group type = C2/m
DOS(E_F) = 6.7 states/eV per cell
Formation energy = 202.8 meV per atom
ρ = 7.2 g cm⁻³

***

The following is a DFT calculation (PBE) of an optimized crystal structure of GaFeGe3.

abc: 4.7883 4.7883 4.7883
angles: 90.00 90.00 90.00
Site moments in Bohr magnetons follow the coordinates.
Fractional positions:
Ge 0.5000 0.0000 0.0000  -0.03
Ge 0.0000 0.5000 0.0000  -0.01
Ge 0.0000 0.0000 0.5000  0.02
Fe 0.5000 0.5000 0.5000  0.18
Ga 0.0000 0.0000 0.0000  0.00

E = -0.27306 Ry/atom
Crystal system = cubic
Space-group type = Pm-3m
DOS(E_F) = 12.4 states/eV per cell
Formation energy = 1353.2 meV per atom
ρ = 5.2 g cm⁻³

***

The following is a DFT calculation (PBE) of an optimized crystal structure of GaFe14Ge.

abc: 4.9658 4.9658 7.9969
angles: 90.00 90.00 72.59
Site moments in Bohr magnetons follow the coordinates.
Fractional positions:
Fe 0.8750 0.3750 0.0000  2.39
Fe 0.3750 0.3750 0.0000  2.40
Fe 0.1259 0.1259 0.7490  2.42
Fe 0.6264 0.1236 0.2454  2.23
Fe 0.6241 0.6241 0.2509  2.42
Fe 0.6241 0.6241 0.7491  2.42
Fe 0.3750 0.8750 0.5000  1.97
Fe 0.1259 0.1259 0.2510  2.42
Fe 0.3750 0.8750 0.0000  2.39
Fe 0.1236 0.6264 0.7546  2.23
Fe 0.1236 0.6264 0.2454  2.23
Fe 0.8750 0.3750 0.5000  1.97
Fe 0.6264 0.1236 0.7546  2.23
Fe 0.8750 0.8750 0.0000  2.41
Ga 0.3750 0.3750 0.5000  -0.14
Ge 0.8750 0.8750 0.5000  -0.13

E = -0.58210 Ry/atom
Crystal system = orthorhombic
Space-group type = Cmmm
DOS(E_F) = 11.8 states/eV per cell
Formation energy = -37.3 meV per atom
ρ = 8.2 g cm⁻³

***

The following is a DFT calculation (PBE) of an optimized crystal structure of GaFeGe.

abc: 4.0225 4.0225 4.0225
angles: 60.00 60.00 60.00
Site moments in Bohr magnetons follow the coordinates.
Fractional positions:
Fe 0.2500 0.2500 0.2500  0.88
Ge 0.5000 0.5000 0.5000  -0.02
Ga 0.0000 0.0000 0.0000  -0.01

E = -0.39142 Ry/atom
Crystal system = cubic
Space-group type = F-43m
DOS(E_F) = 2.9 states/eV per cell
Formation energy = 43.4 meV per atom
ρ = 7.2 g cm⁻³

***

The following is a DFT calculation (PBE) of an optimized crystal structure of GaFeGe.

abc: 4.8122 4.9533 8.6423
angles: 82.23 73.83 60.94
Site moments in Bohr magnetons follow the coordinates.
Fractional positions:
Ga 0.8383 0.3233 0.0000  -0.04
Ga 0.9117 0.1767 0.5000  -0.04
Ga 0.1617 0.6767 0.0000  -0.04
Ga 0.5883 0.8233 0.5000  -0.04
Fe 0.8771 0.5000 0.2458  1.28
Fe 0.6229 0.5000 0.7542  1.28
Fe 0.1271 0.0000 0.7458  1.28
Fe 0.8729 0.0000 0.2542  1.28
Ge 0.5801 0.0000 0.8399  -0.06
Ge 0.4199 0.0000 0.1601  -0.06
Ge 0.1699 0.5000 0.6601  -0.06
Ge 0.3301 0.5000 0.3399  -0.06

E = -0.40395 Ry/atom
Crystal system = orthorhombic
Space-group type = Fddd
DOS(E_F) = 5.5 states/eV per cell
Formation energy = -127.0 meV per atom
ρ = 7.6 g cm⁻³

***

The following is a DFT calculation (PBE) of an optimized crystal structure of GaFe15Ge4.

abc: 3.6420 3.6420 18.1823
angles: 90.00 90.00 90.00
Site moments in Bohr magnetons follow the coordinates.
Fractional positions:
Ga 0.0000 0.0000 0.0000  -0.15
Fe 0.5000 0.0000 0.3004  2.22
Fe 0.0000 0.5000 0.5000  2.20
Fe 0.0000 0.5000 0.6996  2.22
Fe 0.5000 0.5000 0.5997  2.22
Fe 0.5000 0.0000 0.5000  2.20
Fe 0.5000 0.5000 0.7989  2.24
Fe 0.5000 0.5000 0.2011  2.24
Fe 0.0000 0.5000 0.8995  2.28
Fe 0.5000 0.5000 0.0000  2.32
Fe 0.5000 0.0000 0.1005  2.28
Fe 0.5000 0.0000 0.8995  2.28
Fe 0.5000 0.5000 0.4003  2.22
Fe 0.5000 0.0000 0.6996  2.22
Fe 0.0000 0.5000 0.1005  2.28
Fe 0.0000 0.5000 0.3004  2.22
Ge 0.0000 0.0000 0.1998  -0.14
Ge 0.0000 0.0000 0.8002  -0.14
Ge 0.0000 0.0000 0.4002  -0.14
Ge 0.0000 0.0000 0.5998  -0.14

E = -0.55313 Ry/atom
Crystal system = tetragonal
Space-group type = P4/mmm
DOS(E_F) = 11.1 states/eV per cell
Formation energy = -103.9 meV per atom
ρ = 8.2 g cm⁻³

***

The following is a DFT calculation (PBE) of an optimized crystal structure of Ga4FeGe2.

abc: 4.6409 4.6409 7.4330
angles: 71.81 71.81 90.00
Site moments in Bohr magnetons follow the coordinates.
Fractional positions:
Ga 0.8235 0.8235 0.3530  -0.01
Ga 0.0000 0.5000 0.0000  -0.04
Ga 0.5000 0.0000 0.0000  -0.04
Ga 0.1765 0.1765 0.6470  -0.01
Ge 0.6333 0.6333 0.7335  0.06
Ge 0.3667 0.3667 0.2665  0.06
Fe 0.0000 0.0000 0.0000  1.26

E = -0.29073 Ry/atom
Crystal system = tetragonal
Space-group type = I4/mmm
DOS(E_F) = 4.0 states/eV per cell
Formation energy = 302.3 meV per atom
ρ = 5.5 g cm⁻³

***

The following is a DFT calculation (PBE) of an optimized crystal structure of Ga2FeGe2.

abc: 6.3463 6.3463 4.3272
angles: 90.00 90.00 90.00
Site moments in Bohr magnetons follow the coordinates.
Fractional positions:
Fe 0.5000 0.5000 0.0000  2.06
Fe 0.0000 0.0000 0.0000  2.06
Ge 0.3529 0.8529 0.0000  -0.06
Ge 0.8529 0.6471 0.0000  -0.06
Ge 0.1471 0.3529 0.0000  -0.06
Ge 0.6471 0.1471 0.0000  -0.06
Ga 0.3305 0.1695 0.5000  0.00
Ga 0.8305 0.3305 0.5000  0.00
Ga 0.6695 0.8305 0.5000  0.00
Ga 0.1695 0.6695 0.5000  0.00

E = -0.33283 Ry/atom
Crystal system = tetragonal
Space-group type = P4/mbm
DOS(E_F) = 6.8 states/eV per cell
Formation energy = 221.8 meV per atom
ρ = 6.5 g cm⁻³

***

The following is a DFT calculation (PBE) of an optimized crystal structure of GaFeGe.

abc: 3.1059 4.0291 4.0291
angles: 120.00 90.00 90.00
Fractional positions:
Fe 0.1668 0.3333 0.6667
Ge 0.1664 0.0000 0.0000
Ga 0.6668 0.6667 0.3333

E = -0.37757 Ry/atom
Crystal system = hexagonal
Space-group type = P-6m2
DOS(E_F) = 2.3 states/eV per cell
Formation energy = 231.9 meV per atom
ρ = 7.5 g cm⁻³

***

The following is a DFT calculation (PBE) of an optimized crystal structure of GaFeGe3.

abc: 4.5456 4.5456 4.5456
angles: 90.00 90.00 90.00
Fractional positions:
Ge 0.0000 0.0000 0.5000
Ge 0.5000 0.0000 0.0000
Ge 0.0000 0.5000 0.0000
Fe 0.0000 0.0000 0.0000
Ga 0.5000 0.5000 0.5000

E = -0.35584 Ry/atom
Crystal system = cubic
Space-group type = Pm-3m
DOS(E_F) = 3.2 states/eV per cell
Formation energy = 226.8 meV per atom
ρ = 6.1 g cm⁻³

***

The following is a DFT calculation (PBE) of an optimized crystal structure of GaFe6Ge.

abc: 4.1986 5.1530 5.1530
angles: 120.01 90.00 90.00
Site moments in Bohr magnetons follow the coordinates.
Fractional positions:
Fe 0.0000 0.5884 0.9271  2.22
Fe 0.5000 0.9109 0.5718  2.24
Fe 0.0000 0.0729 0.4116  2.22
Fe 0.0000 0.5886 0.4114  2.22
Fe 0.5000 0.9108 0.0892  2.24
Fe 0.5000 0.4282 0.0891  2.24
Ga 0.0000 0.0832 0.9168  -0.15
Ge 0.5000 0.4167 0.5833  -0.14

E = -0.54450 Ry/atom
Crystal system = hexagonal
Space-group type = P-6m2
DOS(E_F) = 5.3 states/eV per cell
Formation energy = -105.8 meV per atom
ρ = 8.2 g cm⁻³

***

The following is a DFT calculation (PBE) of an optimized crystal structure of Ga2FeHgGe.

abc: 4.7107 4.7107 4.5074
angles: 90.00 90.00 90.00
Fractional positions:
Ga 0.0000 0.5000 0.0000
Ga 0.5000 0.0000 0.0000
Hg 0.5000 0.5000 0.5000
Ge 0.0000 0.0000 0.5000
Fe 0.0000 0.0000 0.0000

E = -0.28670 Ry/atom
Crystal system = tetragonal
Space-group type = P4/mmm
DOS(E_F) = 0.8 states/eV per cell
Formation energy = -13.6 meV per atom
ρ = 7.8 g cm⁻³

***

The following is a DFT calculation (PBE) of an optimized crystal structure of InGa2FeGe.

abc: 4.7163 4.7163 4.5405
angles: 90.00 90.00 90.00
Site moments in Bohr magnetons follow the coordinates.
Fractional positions:
Ga 0.0000 0.5000 0.0000  -0.02
Ga 0.5000 0.0000 0.0000  -0.02
Ge 0.0000 0.0000 0.5000  -0.03
Fe 0.0000 0.0000 0.0000  0.95
In 0.5000 0.5000 0.5000  0.04

E = -0.31785 Ry/atom
Crystal system = tetragonal
Space-group type = P4/mmm
DOS(E_F) = 2.0 states/eV per cell
Formation energy = 49.9 meV per atom
ρ = 6.3 g cm⁻³

***

The following is a DFT calculation (PBE) of an optimized crystal structure of KGa2FeGe.

abc: 4.7215 4.7215 4.6170
angles: 90.00 90.00 90.00
Site moments in Bohr magnetons follow the coordinates.
Fractional positions:
Ga 0.0000 0.5000 0.0000  -0.03
Ga 0.5000 0.0000 0.0000  -0.03
Fe 0.0000 0.0000 0.0000  0.90
Ge 0.0000 0.0000 0.5000  0.02
K 0.5000 0.5000 0.5000  0.02

E = -0.30329 Ry/atom
Crystal system = tetragonal
Space-group type = P4/mmm
DOS(E_F) = 2.0 states/eV per cell
Formation energy = -80.2 meV per atom
ρ = 5.0 g cm⁻³